1.
# HfTe2H PBE relaxed
data_HfTe2H
_chemical_formula_sum 'Hf4 Te8 H4'
_space_group_name_H-M_alt 'F m -3 m'
_space_group_IT_number 225
_space_group_name_Hall '-F 4 2 3'
_cell_length_a 6.9843
_cell_length_b 6.9843
_cell_length_c 6.9843
_cell_angle_alpha 90.00
_cell_angle_beta 90.00
_cell_angle_gamma 90.00
loop_
_atom_site_label
_atom_site_type_symbol
_atom_site_fract_x
_atom_site_fract_y
_atom_site_fract_z
Hf1 Hf 0.0000 0.0000 0.0000
Te1 Te 0.2500 0.2500 0.2500
H1 H 0.0000 0.0000 0.5000
# * crystal system: cubic
# * relative energy among the computed polymorphs: 700.4 meV/atom
# * electronic total energy: -4.80 eV/atom

2.
# Hf4TeH2 PBE relaxed
data_Hf4TeH2
_chemical_formula_sum 'Hf8 Te2 H4'
_space_group_name_H-M_alt 'P 1'
_space_group_IT_number 1
_cell_length_a 5.8022
_cell_length_b 5.8910
_cell_length_c 7.5993
_cell_angle_alpha 71.13
_cell_angle_beta 70.72
_cell_angle_gamma 83.42
loop_
_space_group_symop_operation_xyz
'x,y,z'
loop_
_atom_site_label
_atom_site_type_symbol
_atom_site_fract_x
_atom_site_fract_y
_atom_site_fract_z
Hf1 Hf 0.0000 0.0000 0.0000
Hf2 Hf 0.0066 0.9913 0.5070
Hf3 Hf 0.2208 0.5633 0.8109
Hf4 Hf 0.2298 0.5532 0.3055
Hf5 Hf 0.4011 0.1540 0.6115
Hf6 Hf 0.4124 0.1597 0.1138
Hf7 Hf 0.8174 0.3872 0.2055
Hf8 Hf 0.8362 0.3895 0.6956
Te1 Te 0.6132 0.7837 0.4055
Te2 Te 0.6223 0.7752 0.9034
H1 H 0.0440 0.1049 0.2165
H2 H 0.0786 0.6382 0.0763
H3 H 0.1992 0.4502 0.5924
H4 H 0.4703 0.3026 0.8073
# * crystal system: triclinic
# * electronic total energy: -7.38 eV/atom

3.
# HfTeH2 PBE relaxed
data_HfTeH2
_chemical_formula_sum 'Hf4 Te4 H8'
_space_group_name_H-M_alt 'I 41/a m d'
_space_group_IT_number 141
_cell_length_a 4.3109
_cell_length_b 4.3109
_cell_length_c 12.5462
_cell_angle_alpha 90.00
_cell_angle_beta 90.00
_cell_angle_gamma 90.00
loop_
_space_group_symop_operation_xyz
'x,y,z'
'-x,-y,-z'
'-y+1/4,x+3/4,z+1/4'
'y+1/4,-x+3/4,-z+1/4'
'-x+1/2,-y,z+1/2'
'x+1/2,y,-z+1/2'
'y+1/4,-x+1/4,z+3/4'
'-y+1/4,x+1/4,-z+3/4'
'x,-y,-z'
'-x,y,z'
'-y+1/4,-x+1/4,-z+3/4'
'y+1/4,x+1/4,z+3/4'
'-x+1/2,y,-z+1/2'
'x+1/2,-y,z+1/2'
'y+1/4,x+3/4,-z+1/4'
'-y+1/4,-x+3/4,z+1/4'
'x+1/2,y+1/2,z+1/2'
'-x+1/2,-y+1/2,-z+1/2'
'-y+3/4,x+1/4,z+3/4'
'y+3/4,-x+1/4,-z+3/4'
'-x,-y+1/2,z'
'x,y+1/2,-z'
'y+3/4,-x+3/4,z+1/4'
'-y+3/4,x+3/4,-z+1/4'
'x+1/2,-y+1/2,-z+1/2'
'-x+1/2,y+1/2,z+1/2'
'-y+3/4,-x+3/4,-z+1/4'
'y+3/4,x+3/4,z+1/4'
'-x,y+1/2,-z'
'x,-y+1/2,z'
'y+3/4,x+1/4,-z+3/4'
'-y+3/4,-x+1/4,z+3/4'
loop_
_atom_site_label
_atom_site_type_symbol
_atom_site_fract_x
_atom_site_fract_y
_atom_site_fract_z
Hf1 Hf 0.0000 0.2500 0.3750
Te1 Te 0.0000 0.2500 0.8750
H1 H 0.0000 0.0000 0.5000
# * crystal system: tetragonal
# * relative energy among the computed polymorphs: 317.6 meV/atom
# * electronic total energy: -5.16 eV/atom

4.
# Hf2TeH PBE relaxed
data_Hf2TeH
_chemical_formula_sum 'Hf8 Te4 H4'
_space_group_name_H-M_alt 'F m -3 m'
_space_group_IT_number 225
_space_group_name_Hall '-F 4 2 3'
_cell_length_a 6.6687
_cell_length_b 6.6687
_cell_length_c 6.6687
_cell_angle_alpha 90.00
_cell_angle_beta 90.00
_cell_angle_gamma 90.00
loop_
_atom_site_label
_atom_site_type_symbol
_atom_site_fract_x
_atom_site_fract_y
_atom_site_fract_z
Hf1 Hf 0.2500 0.2500 0.2500
Te1 Te 0.0000 0.0000 0.0000
H1 H 0.0000 0.0000 0.5000
# * crystal system: cubic
# * relative energy among the computed polymorphs: 735.5 meV/atom
# * electronic total energy: -6.40 eV/atom

5.
# HfTe2H PBE relaxed
data_HfTe2H
_chemical_formula_sum 'Hf3 Te6 H3'
_space_group_name_H-M_alt 'R -3 m'
_space_group_IT_number 166
_space_group_name_Hall '-R 3 2"'
_cell_length_a 4.0145
_cell_length_b 4.0145
_cell_length_c 22.2557
_cell_angle_alpha 90.00
_cell_angle_beta 90.00
_cell_angle_gamma 120.00
loop_
_atom_site_label
_atom_site_type_symbol
_atom_site_fract_x
_atom_site_fract_y
_atom_site_fract_z
Hf1 Hf 0.0000 0.0000 0.0000
Te1 Te 0.0000 0.0000 0.4110
H1 H 0.0000 0.0000 0.5000
# * crystal system: trigonal
# * relative energy among the computed polymorphs: 265.4 meV/atom
# * electronic total energy: -5.24 eV/atom

6.
# HfTeH3 PBE relaxed
data_HfTeH3
_chemical_formula_sum 'Hf1 Te1 H3'
_space_group_name_H-M_alt 'P m -3 m'
_space_group_IT_number 221
_space_group_name_Hall '-P 4 2 3'
_cell_length_a 3.9504
_cell_length_b 3.9504
_cell_length_c 3.9504
_cell_angle_alpha 90.00
_cell_angle_beta 90.00
_cell_angle_gamma 90.00
loop_
_atom_site_label
_atom_site_type_symbol
_atom_site_fract_x
_atom_site_fract_y
_atom_site_fract_z
Hf1 Hf 0.0000 0.0000 0.0000
Te1 Te 0.5000 0.5000 0.5000
H1 H 0.0000 0.5000 0.5000
# * crystal system: cubic
# * relative energy among the computed polymorphs: 990.9 meV/atom
# * electronic total energy: -3.61 eV/atom

7.
# HfTeH3 PBE relaxed
data_HfTeH3
_chemical_formula_sum 'Hf3 Te3 H9'
_space_group_name_H-M_alt 'R 3 m'
_space_group_IT_number 160
_space_group_name_Hall 'R 3 -2"'
_cell_length_a 4.5374
_cell_length_b 4.5374
_cell_length_c 13.5362
_cell_angle_alpha 90.00
_cell_angle_beta 90.00
_cell_angle_gamma 120.00
loop_
_atom_site_label
_atom_site_type_symbol
_atom_site_fract_x
_atom_site_fract_y
_atom_site_fract_z
Hf1 Hf 0.0000 0.0000 0.0000
Te1 Te 0.0000 0.0000 0.2306
H1 H 0.1859 0.3717 0.0833
# * crystal system: trigonal
# * relative energy among the computed polymorphs: 185.9 meV/atom
# * electronic total energy: -4.42 eV/atom

8.
# Hf2TeH2 PBE relaxed
data_Hf2TeH2
_chemical_formula_sum 'Hf4 Te2 H4'
_space_group_name_H-M_alt 'A m m 2'
_space_group_IT_number 38
_cell_length_a 4.1489
_cell_length_b 4.1961
_cell_length_c 10.2043
_cell_angle_alpha 90.00
_cell_angle_beta 90.00
_cell_angle_gamma 90.00
loop_
_space_group_symop_operation_xyz
'x,y,z'
'-x,-y,z'
'-x,y,z'
'x,-y,z'
'x,y+1/2,z+1/2'
'-x,-y+1/2,z+1/2'
'-x,y+1/2,z+1/2'
'x,-y+1/2,z+1/2'
loop_
_atom_site_label
_atom_site_type_symbol
_atom_site_fract_x
_atom_site_fract_y
_atom_site_fract_z
Hf1 Hf 0.0000 0.0000 0.0000
Hf2 Hf 0.5000 0.0000 0.4927
Te1 Te 0.0000 0.0000 0.2874
H1 H 0.0000 0.0000 0.5609
H2 H 0.5000 0.0000 0.9806
# * crystal system: orthorhombic
# * relative energy among the computed polymorphs: 190.3 meV/atom
# * electronic total energy: -6.13 eV/atom

9.
# HfTe2H PBE relaxed
data_HfTe2H
_chemical_formula_sum 'Hf3 Te6 H3'
_space_group_name_H-M_alt 'R -3 m'
_space_group_IT_number 166
_space_group_name_Hall '-R 3 2"'
_cell_length_a 3.3177
_cell_length_b 3.3177
_cell_length_c 26.7848
_cell_angle_alpha 90.00
_cell_angle_beta 90.00
_cell_angle_gamma 120.00
loop_
_atom_site_label
_atom_site_type_symbol
_atom_site_fract_x
_atom_site_fract_y
_atom_site_fract_z
Hf1 Hf 0.0000 0.0000 0.0000
Te1 Te 0.0000 0.0000 0.1068
H1 H 0.0000 0.0000 0.5000
# * crystal system: trigonal
# * relative energy among the computed polymorphs: 1207.9 meV/atom
# * electronic total energy: -4.30 eV/atom

10.
# HfTe2H2 PBE relaxed
data_HfTe2H2
_chemical_formula_sum 'Hf4 Te8 H8'
_space_group_name_H-M_alt 'C 1 2/m 1'
_space_group_IT_number 12
_cell_length_a 7.0424
_cell_length_b 11.8600
_cell_length_c 5.9949
_cell_angle_alpha 90.00
_cell_angle_beta 111.04
_cell_angle_gamma 90.00
loop_
_space_group_symop_operation_xyz
'x,y,z'
'-x,-y,-z'
'-x,y,-z'
'x,-y,z'
'x+1/2,y+1/2,z'
'-x+1/2,-y+1/2,-z'
'-x+1/2,y+1/2,-z'
'x+1/2,-y+1/2,z'
loop_
_atom_site_label
_atom_site_type_symbol
_atom_site_fract_x
_atom_site_fract_y
_atom_site_fract_z
Hf1 Hf 0.0000 0.1180 0.0000
Te1 Te 0.0540 0.3271 0.7594
H1 H 0.1232 0.0000 0.2459
H2 H 0.1716 0.0000 0.9320
# * crystal system: monoclinic
# * relative energy among the computed polymorphs: 80.4 meV/atom
# * electronic total energy: -4.79 eV/atom

11.
# HfTe2H PBE relaxed
data_HfTe2H
_chemical_formula_sum 'Hf2 Te4 H2'
_space_group_name_H-M_alt 'P 1 2/c 1'
_space_group_IT_number 13
_cell_length_a 7.1158
_cell_length_b 3.9266
_cell_length_c 6.9321
_cell_angle_alpha 90.00
_cell_angle_beta 98.32
_cell_angle_gamma 90.00
loop_
_space_group_symop_operation_xyz
'x,y,z'
'-x,-y,-z'
'-x,y,-z+1/2'
'x,-y,z+1/2'
loop_
_atom_site_label
_atom_site_type_symbol
_atom_site_fract_x
_atom_site_fract_y
_atom_site_fract_z
Hf1 Hf 0.0000 0.2398 0.2500
Te1 Te 0.2527 0.2411 0.9589
H1 H 0.5000 0.0000 0.0000
# * crystal system: monoclinic
# * relative energy among the computed polymorphs: 283.1 meV/atom
# * electronic total energy: -5.22 eV/atom

12.
# HfTe2H PBE relaxed
data_HfTe2H
_chemical_formula_sum 'Hf4 Te8 H4'
_space_group_name_H-M_alt 'I -4 2 d'
_space_group_IT_number 122
_space_group_name_Hall 'I -4 2bw'
_cell_length_a 6.1128
_cell_length_b 6.1128
_cell_length_c 11.4614
_cell_angle_alpha 90.00
_cell_angle_beta 90.00
_cell_angle_gamma 90.00
loop_
_atom_site_label
_atom_site_type_symbol
_atom_site_fract_x
_atom_site_fract_y
_atom_site_fract_z
Hf1 Hf 0.0000 0.0000 0.0000
Te1 Te 0.2044 0.2500 0.6250
H1 H 0.0000 0.0000 0.5000
# * crystal system: tetragonal
# * relative energy among the computed polymorphs: 723.3 meV/atom
# * electronic total energy: -4.78 eV/atom